1.
CoPd2Se: optimized geometry, PBE.

Properties
Fermi-level density of states: 4.35 states/eV per cell
raw total energy: -5.0734 eV/atom
calculated volume: 15.172 Å³ per atom
raw formation energy: 66 kJ/mol of formula units
symmetry: Fm-3m

Cell lengths 4.411, 4.411, 4.411 Å; angles 60.00, 60.00, 60.00 degrees
Each line ends with the local moment (μB).
Fractional coordinates of all 4 atoms:
Co 0.000 0.000 0.000  1.86
Se 0.500 0.500 0.500  0.00
Pd 0.250 0.250 0.250  0.12
Pd 0.750 0.750 0.750  0.12

---

2.
BaScS2: optimized geometry, PBE.

Properties
Fermi-level density of states: 2.48 states/eV per cell
raw total energy: -5.4575 eV/atom
calculated volume: 37.624 Å³ per atom
raw formation energy: -513 kJ/mol of formula units
symmetry: R-3m

Cell lengths 8.431, 8.431, 8.431 Å; angles 32.11, 32.11, 32.11 degrees
Each line ends with the local moment (μB).
Fractional coordinates of all 4 atoms:
Sc 0.000 0.000 0.000  0.13
S 0.902 0.902 0.902  0.00
S 0.098 0.098 0.098  0.00
Ba 0.500 0.500 0.500  0.00

---

3.
PuCd2SnO6: optimized geometry, PBE.

Properties
Fermi-level density of states: 6.17 states/eV per cell
raw total energy: -6.5558 eV/atom
calculated volume: 15.311 Å³ per atom
raw formation energy: -1509 kJ/mol of formula units
symmetry: P4mm

Cell lengths 4.206, 6.034, 6.034 Å; angles 90.00, 90.00, 90.00 degrees
Each line ends with the local moment (μB).
Fractional coordinates of all 10 atoms:
Pu 0.658 0.000 0.000  3.80
Cd 0.981 0.500 0.000  0.01
Cd 0.981 0.000 0.500  0.01
Sn 0.651 0.500 0.500  0.00
O 0.710 0.257 0.257  -0.03
O 0.710 0.257 0.743  -0.03
O 0.168 0.500 0.500  -0.02
O 0.166 0.000 0.000  -0.12
O 0.710 0.743 0.743  -0.03
O 0.710 0.743 0.257  -0.03

---

4.
Er3Ni2Ir: optimized geometry, PBE.

Properties
Fermi-level density of states: 6.84 states/eV per cell
raw total energy: -6.2988 eV/atom
calculated volume: 19.096 Å³ per atom
formation enthalpy at 0 K: -613 meV per atom
symmetry: P-3m1

Cell lengths 4.763, 4.763, 11.663 Å; angles 90.00, 90.00, 120.00 degrees
Fractional coordinates of all 12 atoms:
Er 0.333 0.667 0.416
Er 0.667 0.333 0.083
Er 0.000 0.000 0.752
Er 0.000 0.000 0.248
Er 0.333 0.667 0.917
Er 0.667 0.333 0.584
Ni 0.000 0.000 0.500
Ni 0.333 0.667 0.164
Ni 0.667 0.333 0.836
Ni 0.000 0.000 0.000
Ir 0.333 0.667 0.667
Ir 0.667 0.333 0.333

---

Which of these has the lowest Fermi-level density of states? BaScS2